No. 1
Material: Ho8Zn2Cd
Method: DFT, PBE
State: relaxed

a b c (Å): 5.0776 7.0877 9.1791
angles (deg): 107.81 106.06 90.00
Fractional coordinates of all 11 atoms:
Ho 0.4068 0.5307 0.8135
Ho 0.6728 0.9728 0.3456
Ho 0.3272 0.0272 0.6544
Ho 0.9702 0.2344 0.9404
Ho 0.8058 0.6924 0.6116
Ho 0.0298 0.7656 0.0596
Ho 0.5932 0.4693 0.1865
Ho 0.1942 0.3076 0.3884
Cd 0.5000 0.0000 0.0000
Zn 0.8152 0.2979 0.6303
Zn 0.1848 0.7021 0.3697

## Properties
space group	C2/m


No. 2
Material: Ho2Zn2Cd3
Method: DFT, PBE
State: relaxed

a b c (Å): 4.2736 5.7087 7.4875
angles (deg): 112.41 90.00 111.98
Fractional coordinates of all 7 atoms:
Ho 0.8576 0.7152 0.2133
Ho 0.1424 0.2848 0.7867
Zn 0.1555 0.3110 0.1984
Zn 0.8445 0.6890 0.8016
Cd 0.3801 0.7601 0.5616
Cd 0.6199 0.2399 0.4384
Cd 0.5000 0.0000 0.0000

## Properties
offset from the most stable computed form	0.000	eV/atom
space group	C2/m


no.,DFT formation energy (eV/atom),DFT total energy (eV/atom)
1,-0.1361,-3.780
2,-0.2779,-2.342